A geometry-optimized Si2BiF structure. Source: Alexandria via LeMat-Bulk, functional GGA-PBE.

POSCAR file:
```
Si2BiF
1.0
-2.241 2.241 8.086
2.241 -2.241 8.086
2.241 2.241 -8.086
Si Bi F
4 2 2
direct
0.007 0.625 0.882 Si
0.375 0.257 0.382 Si
0.743 0.125 0.118 Si
0.875 0.993 0.618 Si
0.250 0.750 0.500 Bi
0.500 0.500 0.000 Bi
0.000 0.000 0.000 F
0.750 0.250 0.500 F
```

SG ... I-42d (122)
Energy relative to the elements, uncorrected ... -12.8 kJ per mole of atoms
Distance to the lowest polymorph of the same formula ... 0 meV per atom


A geometry-optimized SiBi3F structure. Source: Alexandria via LeMat-Bulk, functional GGA-PBE.

POSCAR file:
```
SiBi3F
1.0
5.063 0.000 0.000
0.000 5.063 0.000
0.000 0.000 5.063
Si Bi F
1 3 1
direct
0.000 0.000 0.000 Si
0.000 0.500 0.500 Bi
0.500 0.000 0.500 Bi
0.500 0.500 0.000 Bi
0.500 0.500 0.500 F
```

SG ... Pm-3m (221)
Energy relative to the elements, uncorrected ... 4.1 kJ per mole of atoms
Distance to the lowest polymorph of the same formula ... 0 meV per atom


A geometry-optimized Si3BiF structure. Source: Alexandria via LeMat-Bulk, functional GGA-PBE.

POSCAR file:
```
Si3BiF
1.0
5.497 0.000 0.000
0.000 5.497 0.000
0.000 0.000 5.497
Si Bi F
3 1 1
direct
0.000 0.000 0.500 Si
0.000 0.500 0.000 Si
0.500 0.000 0.000 Si
0.000 0.000 0.000 Bi
0.500 0.500 0.500 F
```

SG ... Pm-3m (221)
Energy relative to the elements, uncorrected ... 125.9 kJ per mole of atoms
Distance to the lowest polymorph of the same formula ... 935 meV per atom


A geometry-optimized Si3BiF structure. Source: Alexandria via LeMat-Bulk, functional GGA-PBE.

POSCAR file:
```
Si3BiF
1.0
4.606 0.000 0.000
0.000 4.606 0.000
0.000 0.000 4.606
Si Bi F
3 1 1
direct
0.000 0.000 0.500 Si
0.000 0.500 0.000 Si
0.500 0.000 0.000 Si
0.500 0.500 0.500 Bi
0.000 0.000 0.000 F
```

SG ... Pm-3m (221)
Energy relative to the elements, uncorrected ... 35.6 kJ per mole of atoms
Distance to the lowest polymorph of the same formula ... 0 meV per atom